1) Material: Tc3IrO
Method: DFT, GGA-PBE
State: relaxed

Results
Total moment ... 5.55 μB/f.u.
Space-group type ... Pm-3m, No. 221
N(E_F) ... 6.67 states/eV per cell
Calculated volume ... 106.2 Å³/f.u.

Cell lengths 4.7351, 4.7351, 4.7351 Å; angles 90.00, 90.00, 90.00 degrees
Closest atoms and distances in Å follow each position.
Element x y z (fractional)
1 Tc 0.0000 0.0000 0.5000  2 Ir 2.37
2 Tc 0.0000 0.5000 0.0000  2 Ir 2.37
3 Tc 0.5000 0.0000 0.0000  2 Ir 2.37
4 Ir 0.0000 0.0000 0.0000  6 Tc 2.37
5 O 0.5000 0.5000 0.5000  12 Tc 3.35

2) Material: Tc3IrO
Method: DFT, GGA-PBE
State: relaxed

Results
Total moment ... 0.00 μB/f.u.
Space-group type ... Pm-3m, No. 221
N(E_F) ... 3.33 states/eV per cell
Calculated volume ... 65.9 Å³/f.u.

Cell lengths 4.0399, 4.0399, 4.0399 Å; angles 90.00, 90.00, 90.00 degrees
Closest atoms and distances in Å follow each position.
Element x y z (fractional)
1 Tc 0.0000 0.0000 0.5000  2 O 2.02
2 Tc 0.0000 0.5000 0.0000  2 O 2.02
3 Tc 0.5000 0.0000 0.0000  2 O 2.02
4 Ir 0.5000 0.5000 0.5000  12 Tc 2.86
5 O 0.0000 0.0000 0.0000  6 Tc 2.02

Verdict on stability: 2) comes out on top.

1) Material: Tl3IrO6
Method: DFT, GGA-PBE
State: relaxed

Results
Total moment ... 0.00 μB/f.u.
Space-group type ... Cmc2_1, No. 36
N(E_F) ... 1.79 states/eV per cell
Calculated volume ... 170.7 Å³/f.u.

Cell lengths 7.6656, 7.6656, 5.9734 Å; angles 90.00, 90.00, 103.40 degrees
Closest atoms and distances in Å follow each position.
Element x y z (fractional)
1 Tl 0.0907 0.9093 0.5000  6 O 2.33-2.46
2 Tl 0.1860 0.3912 0.5477  4 O 2.27-2.45
3 Tl 0.3912 0.1860 0.0477  4 O 2.27-2.45
4 Tl 0.6088 0.8140 0.5477  4 O 2.27-2.45
5 Tl 0.8140 0.6088 0.0477  4 O 2.27-2.45
6 Tl 0.9093 0.0907 0.0000  6 O 2.33-2.46
7 Ir 0.3072 0.6928 0.1304  4 O 1.77-1.91
8 Ir 0.6928 0.3072 0.6304  4 O 1.77-1.91
9 O 0.1022 0.6239 0.3195  1 Ir 1.91
10 O 0.1412 0.1694 0.2594  4 Tl 2.27-2.42
11 O 0.1694 0.1412 0.7594  4 Tl 2.27-2.42
12 O 0.3027 0.6973 0.8341  1 Ir 1.77
13 O 0.3761 0.8978 0.3195  1 Ir 1.91
14 O 0.4298 0.5702 0.3254  1 Ir 1.88
15 O 0.5702 0.4298 0.8254  1 Ir 1.88
16 O 0.6239 0.1022 0.8195  1 Ir 1.91
17 O 0.6973 0.3027 0.3341  1 Ir 1.77
18 O 0.8306 0.8588 0.2594  4 Tl 2.27-2.42
19 O 0.8588 0.8306 0.7594  4 Tl 2.27-2.42
20 O 0.8978 0.3761 0.8195  1 Ir 1.91

2) Material: Tl3IrO6
Method: DFT, GGA-PBE
State: relaxed

Results
Total moment ... 0.00 μB/f.u.
Space-group type ... P2_1/c, No. 14
N(E_F) ... 8.07 states/eV per cell
Calculated volume ... 142.5 Å³/f.u.

Cell lengths 5.6889, 5.8153, 10.2885 Å; angles 90.00, 123.12, 90.00 degrees
Closest atoms and distances in Å follow each position.
Element x y z (fractional)
1 Tl 0.0000 0.0000 0.0000  4 O 2.31-2.42
2 Tl 0.0000 0.5000 0.5000  4 O 2.31-2.42
3 Tl 0.2689 0.0469 0.7447  6 O 2.34-2.56
4 Tl 0.2689 0.4531 0.2447  6 O 2.34-2.56
5 Tl 0.7311 0.5469 0.7553  6 O 2.34-2.56
6 Tl 0.7311 0.9531 0.2553  6 O 2.34-2.56
7 Ir 0.5000 0.0000 0.5000  6 O 1.98-2.00
8 Ir 0.5000 0.5000 0.0000  6 O 1.98-2.00
9 O 0.1557 0.0729 0.2921  1 Ir 2.00
10 O 0.1557 0.4271 0.7921  1 Ir 2.00
11 O 0.3094 0.6971 0.0729  1 Ir 1.99
12 O 0.3094 0.8029 0.5729  1 Ir 1.99
13 O 0.4083 0.2392 0.0885  1 Ir 1.98
14 O 0.4083 0.2608 0.5885  1 Ir 1.98
15 O 0.5917 0.7392 0.4115  1 Ir 1.98
16 O 0.5917 0.7608 0.9115  1 Ir 1.98
17 O 0.6906 0.1971 0.4271  1 Ir 1.99
18 O 0.6906 0.3029 0.9271  1 Ir 1.99
19 O 0.8443 0.5729 0.2079  1 Ir 2.00
20 O 0.8443 0.9271 0.7079  1 Ir 2.00

Verdict on stability: 2) comes out on top.

1) Material: Tm2IrO
Method: DFT, GGA-PBE
State: relaxed

Results
Total moment ... 0.00 μB/f.u.
Space-group type ... P4/mmm, No. 123
N(E_F) ... 1.78 states/eV per cell
Calculated volume ... 66.3 Å³/f.u.

Cell lengths 3.0999, 3.0999, 6.9023 Å; angles 90.00, 90.00, 90.00 degrees
Closest atoms and distances in Å follow each position.
Element x y z (fractional)
1 Tm 0.0000 0.0000 0.2317  4 O 2.71, 4 Ir 2.87
2 Tm 0.0000 0.0000 0.7683  4 O 2.71, 4 Ir 2.87
3 Ir 0.5000 0.5000 0.5000  8 Tm 2.87, 4 Ir 3.10
4 O 0.5000 0.5000 0.0000  8 Tm 2.71

2) Material: Tm2IrO
Method: DFT, GGA-PBE
State: relaxed

Results
Total moment ... 0.00 μB/f.u.
Space-group type ... R-3m, No. 166
N(E_F) ... 2.68 states/eV per cell
Calculated volume ... 101.9 Å³/f.u.

Cell lengths 7.3846, 7.3846, 7.3846 Å; angles 32.24, 32.24, 32.24 degrees
Closest atoms and distances in Å follow each position.
Element x y z (fractional)
1 Tm 0.0959 0.0959 0.0959  1 O 2.01
2 Tm 0.9041 0.9041 0.9041  1 O 2.01
3 Ir 0.5000 0.5000 0.5000  6 Tm 2.80
4 O 0.0000 0.0000 0.0000  2 Tm 2.01

Verdict on stability: 2) comes out on top.

1) Material: Y2Ir2O
Method: DFT, GGA-PBE
State: relaxed

Results
Total moment ... 0.00 μB/f.u.
Space-group type ... P4/mbm, No. 127
N(E_F) ... 2.01 states/eV per cell
Calculated volume ... 99.8 Å³/f.u.

Cell lengths 7.3252, 7.3252, 3.7214 Å; angles 90.00, 90.00, 90.00 degrees
Closest atoms and distances in Å follow each position.
Element x y z (fractional)
1 Y 0.1803 0.3197 0.0000  6 Ir 2.76-2.93
2 Y 0.3197 0.8197 0.0000  6 Ir 2.76-2.93
3 Y 0.6803 0.1803 0.0000  6 Ir 2.76-2.93
4 Y 0.8197 0.6803 0.0000  6 Ir 2.76-2.93
5 Ir 0.1226 0.6226 0.5000  1 Ir 2.54, 2 Y 2.76
6 Ir 0.3774 0.1226 0.5000  1 Ir 2.54, 2 Y 2.76
7 Ir 0.6226 0.8774 0.5000  1 Ir 2.54, 2 Y 2.76
8 Ir 0.8774 0.3774 0.5000  1 Ir 2.54, 2 Y 2.76
9 O 0.0000 0.0000 0.5000  4 Ir 2.91
10 O 0.5000 0.5000 0.5000  4 Ir 2.91

2) Material: Y2Ir2O
Method: DFT, GGA-PBE
State: relaxed

Results
Total moment ... 0.00 μB/f.u.
Space-group type ... I4/mmm, No. 139
N(E_F) ... 5.23 states/eV per cell
Calculated volume ... 102.4 Å³/f.u.

Cell lengths 5.1664, 5.1664, 5.1664 Å; angles 116.19, 116.19, 96.74 degrees
Closest atoms and distances in Å follow each position.
Element x y z (fractional)
1 Y 0.2500 0.7500 0.5000  4 Ir 2.76
2 Y 0.7500 0.2500 0.5000  4 Ir 2.76
3 Ir 0.1869 0.1869 0.0000  1 O 2.15
4 Ir 0.8131 0.8131 0.0000  1 O 2.15
5 O 0.5000 0.5000 0.0000  2 Ir 2.15

Verdict on stability: 2) comes out on top.

1) Material: YIrO2
Method: DFT, GGA-PBE
State: relaxed

Results
Total moment ... 1.96 μB/f.u.
Space-group type ... Fm-3m, No. 225
N(E_F) ... 2.17 states/eV per cell
Calculated volume ... 50.8 Å³/f.u.

Cell lengths 4.1571, 4.1571, 4.1571 Å; angles 60.00, 60.00, 60.00 degrees
Closest atoms and distances in Å follow each position.
Element x y z (fractional)
1 Y 0.0000 0.0000 0.0000  8 O 2.55
2 Ir 0.5000 0.5000 0.5000  8 O 2.55
3 O 0.2500 0.2500 0.2500  4 Ir 2.55, 4 Y 2.55
4 O 0.7500 0.7500 0.7500  4 Ir 2.55, 4 Y 2.55

2) Material: YIrO2
Method: DFT, GGA-PBE
State: relaxed

Results
Total moment ... 0.99 μB/f.u.
Space-group type ... R-3m, No. 166
N(E_F) ... 4.19 states/eV per cell
Calculated volume ... 61.1 Å³/f.u.

Cell lengths 6.4897, 6.4897, 6.4897 Å; angles 30.15, 30.15, 30.15 degrees
Closest atoms and distances in Å follow each position.
Element x y z (fractional)
1 Y 0.0000 0.0000 0.0000  6 O 2.23
2 Ir 0.5000 0.5000 0.5000  2 O 2.00
3 O 0.3921 0.3921 0.3921  1 Ir 2.00, 3 Y 2.23
4 O 0.6079 0.6079 0.6079  1 Ir 2.00, 3 Y 2.23

Verdict on stability: 2) comes out on top.